## P
First-principles (GGA-PBE) data for a relaxed structure of CaPrPt, as listed in Alexandria.

Lattice parameters (Å, degrees): 6.5899 4.2232 4.2232 120.00 90.00 90.00
Fractional coordinates of all 3 atoms:
Pt1 0.0056 0.0000 0.0000
Ca1 0.7617 0.6667 0.3333
Pr1 0.2327 0.3333 0.6667

Results
**Total magnetization**: 0.00 μB/cell
**Density of states at the Fermi level**: 2.46 states/eV per cell


## Q
First-principles (GGA-PBE) data for a relaxed structure of CaPrPt, as listed in Alexandria.

Lattice parameters (Å, degrees): 3.9804 6.6785 7.4382 72.98 74.48 72.66
Fractional coordinates of all 6 atoms:
Pt1 0.2975 0.5920 0.8129
Pr1 0.5957 0.9231 0.8856
Ca1 0.7523 0.3729 0.1225
Pr2 0.9928 0.4314 0.5830
Pt2 0.0443 0.7203 0.1912
Ca2 0.3408 0.9002 0.4182

Results
**Total magnetization**: 0.00 μB/cell
**Density of states at the Fermi level**: 5.10 states/eV per cell


Verdict on stability: P comes out at the bottom.


## P
First-principles (GGA-PBE) data for a relaxed structure of CaPr4Pt2, as listed in Alexandria.

Lattice parameters (Å, degrees): 6.7949 8.1293 8.2387 111.70 90.00 90.00
Fractional coordinates of all 14 atoms:
Pt1 0.7500 0.3779 0.4086
Pt2 0.2500 0.6221 0.5914
Pr1 0.2500 0.9839 0.6214
Pr2 0.9963 0.4080 0.7564
Pr3 0.5037 0.4080 0.7564
Ca1 0.7500 0.1596 0.0201
Pr4 0.7500 0.7543 0.6635
Ca2 0.2500 0.8404 0.9799
Pt3 0.7500 0.7186 0.0066
Pr5 0.7500 0.0161 0.3786
Pr6 0.2500 0.2457 0.3365
Pt4 0.2500 0.2814 0.9934
Pr7 0.4963 0.5920 0.2436
Pr8 0.0037 0.5920 0.2436

Results
**Total magnetization**: 0.00 μB/cell
**Density of states at the Fermi level**: 17.44 states/eV per cell


## Q
First-principles (GGA-PBE) data for a relaxed structure of CaPr4Pt2, as listed in Alexandria.

Lattice parameters (Å, degrees): 6.8856 7.1227 9.5449 107.67 106.58 91.53
Fractional coordinates of all 14 atoms:
Pt1 0.0620 0.6171 0.9992
Pr1 0.5337 0.1267 0.3270
Pr2 0.8011 0.4768 0.1509
Pr3 0.8110 0.7861 0.7496
Pr4 0.4046 0.6493 0.3374
Pr5 0.4116 0.6862 0.8971
Pt2 0.4679 0.4501 0.5862
Pr6 0.2708 0.0426 0.6168
Pr7 0.7907 0.2675 0.7398
Pr8 0.9600 0.9809 0.1989
Ca1 0.2446 0.2321 0.9965
Ca2 0.0392 0.4796 0.5106
Pt3 0.6220 0.0792 0.9366
Pt4 0.8308 0.8757 0.4534

Results
**Total magnetization**: 0.00 μB/cell
**Density of states at the Fermi level**: 14.07 states/eV per cell


Verdict on stability: P comes out at the bottom.


## P
First-principles (GGA-PBE) data for a relaxed structure of CaPrZnPt, as listed in Alexandria.

Lattice parameters (Å, degrees): 4.1207 4.2662 6.0904 90.00 109.77 90.00
Fractional coordinates of all 4 atoms:
Pr1 0.8607 0.5000 0.7213
Ca1 0.1442 0.0000 0.2884
Zn1 0.5710 0.5000 0.1419
Pt1 0.4242 0.0000 0.8484

Results
**Total magnetization**: 0.00 μB/cell
**Density of states at the Fermi level**: 2.33 states/eV per cell


## Q
First-principles (GGA-PBE) data for a relaxed structure of CaPrZnPt, as listed in Alexandria.

Lattice parameters (Å, degrees): 5.1061 5.1061 5.1061 60.00 60.00 60.00
Fractional coordinates of all 4 atoms:
Ca1 0.5000 0.5000 0.5000
Zn1 0.2500 0.2500 0.2500
Pr1 0.0000 0.0000 0.0000
Pt1 0.7500 0.7500 0.7500

Results
**Total magnetization**: 0.00 μB/cell
**Density of states at the Fermi level**: 2.44 states/eV per cell


Verdict on stability: Q comes out at the bottom.